# 1
# CeSmIn

CeSmIn after structural relaxation (PBE, the Alexandria database).

Cell: 3.7206 3.7206 13.2282 Å, 98.08 98.08 90.00°
Fractional coordinates of all 6 atoms:
Ce 0.2766 0.2766 0.5532
Ce 0.7234 0.7234 0.4468
Sm 0.5700 0.5701 0.1401
Sm 0.4300 0.4299 0.8599
In 0.1444 0.1444 0.2887
In 0.8556 0.8556 0.7113

Values from the calculation:
DFT formation energy = -121 meV per atom
Total energy = -27.5 eV/cell
N(E_F) = 1.74 states/eV/atom
Magnetic moment = 0.132 μB per atom
Excess energy over the best structure of this formula in the dataset = 178 meV per atom

=====

# 2
# Ce3SmIn6

Ce3SmIn6 after structural relaxation (PBE, the Alexandria database).

Cell: 6.4867 7.5642 7.5642 Å, 112.17 106.61 106.61°
Fractional coordinates of all 10 atoms:
Ce 0.6035 0.6596 0.0000
Ce 0.6035 0.0000 0.6596
Ce 0.9440 0.3404 0.3404
Sm 0.8956 0.0000 0.0000
In 0.3916 0.0000 0.2410
In 0.3916 0.2410 0.0000
In 0.0595 0.0000 0.4979
In 0.0595 0.4979 0.0000
In 0.5616 0.5021 0.5021
In 0.1506 0.7590 0.7590

Values from the calculation:
DFT formation energy = 54 meV per atom
Total energy = -38.4 eV/cell
N(E_F) = 1.64 states/eV/atom
Magnetic moment = 0.162 μB per atom

=====

# 3
# CeSmIn

CeSmIn after structural relaxation (PBE, the Alexandria database).

Cell: 4.1331 4.1331 5.8327 Å, 110.75 110.75 90.00°
Fractional coordinates of all 3 atoms:
Ce 0.9423 0.9423 0.8846
Sm 0.6252 0.6252 0.2505
In 0.2824 0.2824 0.5649

Values from the calculation:
DFT formation energy = -185 meV per atom
Total energy = -13.9 eV/cell
N(E_F) = 2.61 states/eV/atom
Magnetic moment = 0.262 μB per atom
Excess energy over the best structure of this formula in the dataset = 114 meV per atom

=====

# 4
# CeSm6In6

CeSm6In6 after structural relaxation (PBE, the Alexandria database).

Cell: 6.3239 6.3238 11.0319 Å, 90.00 90.00 120.00°
Fractional coordinates of all 13 atoms:
Ce 0.0000 0.0000 0.0000
Sm 0.0000 0.0000 0.6635
Sm 0.0000 0.0000 0.3365
Sm 0.3333 0.6667 0.0000
Sm 0.6667 0.3333 0.0000
Sm 0.3334 0.6667 0.5000
Sm 0.6666 0.3333 0.5000
In 0.0000 0.5000 0.7548
In 0.5000 0.0000 0.7548
In 0.5000 0.5000 0.7548
In 0.5000 0.0000 0.2452
In 0.0000 0.5000 0.2452
In 0.5000 0.5000 0.2452

Values from the calculation:
DFT formation energy = -330 meV per atom
Total energy = -55.0 eV/cell
N(E_F) = 1.51 states/eV/atom
Magnetic moment = 0.164 μB per atom

=====

# 5
# CeSm6In

CeSm6In after structural relaxation (PBE, the Alexandria database).

Cell: 4.9620 4.9620 10.2234 Å, 90.00 90.00 90.00°
Fractional coordinates of all 8 atoms:
Ce 0.0000 0.0000 0.5000
Sm 0.5000 0.5000 0.0000
Sm 0.5000 0.5000 0.5000
Sm 0.5000 0.0000 0.2448
Sm 0.5000 0.0000 0.7552
Sm 0.0000 0.5000 0.2448
Sm 0.0000 0.5000 0.7552
In 0.0000 0.0000 0.0000

Values from the calculation:
DFT formation energy = -84 meV per atom
Total energy = -37.7 eV/cell
N(E_F) = 1.59 states/eV/atom
Magnetic moment = 0.147 μB per atom

=====

# 6
# CeSm3In4

CeSm3In4 after structural relaxation (PBE, the Alexandria database).

Cell: 3.4883 7.3081 10.3648 Å, 110.64 99.69 90.00°
Fractional coordinates of all 8 atoms:
Ce 0.5000 0.0000 0.0000
Sm 0.0000 0.5000 0.0000
Sm 0.2181 0.2182 0.4363
Sm 0.7819 0.7818 0.5637
In 0.3724 0.5797 0.7447
In 0.6276 0.4203 0.2553
In 0.6277 0.8350 0.2553
In 0.3723 0.1650 0.7447

Values from the calculation:
DFT formation energy = -268 meV per atom
Total energy = -33.2 eV/cell
N(E_F) = 1.57 states/eV/atom
Magnetic moment = 0.209 μB per atom
Excess energy over the best structure of this formula in the dataset = 180 meV per atom